Entry 1:
Mg5Cu (SCAN, single point on PBEsol structure); formation energy from the elements = 0.01 eV per atom
1.0
5.289 0.000 0.000
-2.644 4.580 0.000
0.000 0.000 4.817
Mg Cu
5 1
direct
0.000 0.316 0.000
0.316 0.000 0.000
0.333 0.667 0.500
0.667 0.333 0.500
0.684 0.684 0.000
0.000 0.000 0.500

Entry 2:
SrZr4P6O24 (SCAN, single point on PBEsol structure); raw formation energy = -3095 meV per atom
1.0
4.394 2.537 7.770
-4.394 2.537 7.770
0.000 -5.073 7.770
Sr Zr P O
1 4 6 24
direct
0.000 0.000 0.000
0.149 0.149 0.149
0.357 0.357 0.357
0.643 0.643 0.643
0.851 0.851 0.851
0.029 0.457 0.756
0.244 0.971 0.543
0.457 0.756 0.029
0.543 0.244 0.971
0.756 0.029 0.457
0.971 0.543 0.244
0.003 0.387 0.200
0.083 0.269 0.911
0.089 0.917 0.731
0.147 0.519 0.246
0.188 0.454 0.570
0.200 0.003 0.387
0.246 0.147 0.519
0.269 0.911 0.083
0.387 0.200 0.003
0.430 0.812 0.546
0.454 0.570 0.188
0.481 0.754 0.853
0.519 0.246 0.147
0.546 0.430 0.812
0.570 0.188 0.454
0.613 0.800 0.997
0.731 0.089 0.917
0.754 0.853 0.481
0.800 0.997 0.613
0.812 0.546 0.430
0.853 0.481 0.754
0.911 0.083 0.269
0.917 0.731 0.089
0.997 0.613 0.800

Entry 3:
Sr4La2MgRu2O12 (SCAN, single point on PBEsol structure); raw formation energy = -2732 meV per atom
1.0
-1.919 1.919 18.938
1.919 -1.919 18.938
1.919 1.919 -18.938
Sr La Mg Ru O
4 2 1 2 12
direct
0.118 0.118 0.000
0.216 0.216 0.000
0.784 0.784 0.000
0.882 0.882 0.000
0.454 0.454 0.000
0.546 0.546 0.000
0.000 0.000 0.000
0.334 0.334 0.000
0.666 0.666 0.000
0.000 0.500 0.500
0.057 0.057 0.000
0.167 0.667 0.500
0.279 0.279 0.000
0.333 0.833 0.500
0.389 0.389 0.000
0.500 0.000 0.500
0.611 0.611 0.000
0.667 0.167 0.500
0.721 0.721 0.000
0.833 0.333 0.500
0.943 0.943 0.000

Entry 4:
Mg2InBi (SCAN, single point on PBEsol structure); formation energy from the elements = -0.11 eV per atom
1.0
7.356 0.000 0.000
0.000 7.356 0.000
0.000 0.000 7.356
Mg In Bi
8 4 4
direct
0.250 0.250 0.250
0.250 0.250 0.750
0.250 0.750 0.250
0.250 0.750 0.750
0.750 0.250 0.250
0.750 0.250 0.750
0.750 0.750 0.250
0.750 0.750 0.750
0.000 0.000 0.000
0.000 0.500 0.500
0.500 0.000 0.500
0.500 0.500 0.000
0.000 0.000 0.500
0.000 0.500 0.000
0.500 0.000 0.000
0.500 0.500 0.500

Values of Fermi-level density of states, in order: 0.31 0.00 0.17 0.48, all in states/eV/atom.